Material: Pm5TlPb4
Method: DFT, GGA-PBE
State: optimized geometry

```
Pm5TlPb4
1.0
3.5843 0.0000 0.0000
0.0000 3.5843 0.0000
0.0000 0.0000 22.9515
Pm Tl Pb
5 1 4
Direct
0.0000 0.0000 0.0000
0.0000 0.0000 0.2011
0.0000 0.0000 0.4028
0.0000 0.0000 0.5972
0.0000 0.0000 0.7989
0.5000 0.5000 0.5000
0.5000 0.5000 0.1005
0.5000 0.5000 0.3016
0.5000 0.5000 0.6984
0.5000 0.5000 0.8995
```

## Properties
Energy relative to the elements, meV per atom: -477
DOS(E_F), states/eV per atom: 0.9772
Magnetization, μB per atom: 0.0006

Material: TiSiSCl2
Method: DFT, GGA-PBE
State: optimized geometry

```
TiSiSCl2
1.0
4.7384 0.0000 0.0000
0.0000 4.7384 0.0000
0.0000 0.0000 4.8498
Ti Si S Cl
1 1 1 2
Direct
0.0000 0.0000 0.0000
0.5000 0.5000 0.5000
0.0000 0.0000 0.5000
0.0000 0.5000 0.0000
0.5000 0.0000 0.0000
```

## Properties
DOS(E_F), states/eV per atom: 0.9414
Magnetization, μB per atom: 0.1257
Relative energy among the computed polymorphs, meV/atom: 0

Material: CsNbCu2S4
Method: DFT, GGA-PBE
State: optimized geometry

```
CsNbCu2S4
1.0
-3.2090 3.2090 4.6505
3.2090 -3.2090 4.6505
3.2090 3.2090 -4.6505
Cs Nb Cu S
1 1 2 4
Direct
0.0000 0.0000 0.0000
0.5000 0.5000 0.0000
0.2500 0.7500 0.5000
0.7500 0.2500 0.5000
0.1436 0.5294 0.0000
0.4706 0.4706 0.6143
0.5294 0.1436 0.0000
0.8564 0.8564 0.3857
```

## Properties
Electronic total energy, eV/cell: -40.44
Magnetization, μB per atom: 0.0000

Material: Hf12Bi3Au5
Method: DFT, GGA-PBE
State: optimized geometry

```
Hf12Bi3Au5
1.0
-8.1495 8.1495 8.1495
8.1495 -8.1495 8.1495
8.1495 8.1495 -8.1495
Hf Bi Au
48 12 20
Direct
0.0551 0.2196 0.1341
0.0551 0.3355 0.9210
0.0790 0.6341 0.4146
0.0790 0.9449 0.6645
0.0854 0.7196 0.6645
0.0854 0.8659 0.4210
0.1341 0.0551 0.2196
0.1341 0.5790 0.9146
0.1645 0.2196 0.5854
0.1645 0.4449 0.5790
0.2196 0.1341 0.0551
0.2196 0.5854 0.1645
0.2804 0.3355 0.9146
0.2804 0.4449 0.3659
0.3355 0.9146 0.2804
0.3355 0.9210 0.0551
0.3659 0.2804 0.4449
0.3659 0.5854 0.9210
0.4146 0.0790 0.6341
0.4146 0.8355 0.7804
0.4210 0.0854 0.8659
0.4210 0.8355 0.5551
0.4449 0.3659 0.2804
0.4449 0.5790 0.1645
0.5551 0.4210 0.8355
0.5551 0.6341 0.7196
0.5790 0.1645 0.4449
0.5790 0.9146 0.1341
0.5854 0.1645 0.2196
0.5854 0.9210 0.3659
0.6341 0.4146 0.0790
0.6341 0.7196 0.5551
0.6645 0.0790 0.9449
0.6645 0.0854 0.7196
0.7196 0.5551 0.6341
0.7196 0.6645 0.0854
0.7804 0.4146 0.8355
0.7804 0.8659 0.9449
0.8355 0.5551 0.4210
0.8355 0.7804 0.4146
0.8659 0.4210 0.0854
0.8659 0.9449 0.7804
0.9146 0.1341 0.5790
0.9146 0.2804 0.3355
0.9210 0.0551 0.3355
0.9210 0.3659 0.5854
0.9449 0.6645 0.0790
0.9449 0.7804 0.8659
0.1250 0.2500 0.3750
0.1250 0.3750 0.7500
0.2500 0.3750 0.1250
0.2500 0.8750 0.6250
0.3750 0.1250 0.2500
0.3750 0.7500 0.1250
0.6250 0.2500 0.8750
0.6250 0.8750 0.7500
0.7500 0.1250 0.3750
0.7500 0.6250 0.8750
0.8750 0.6250 0.2500
0.8750 0.7500 0.6250
0.0000 0.0000 0.0000
0.0000 0.0000 0.5000
0.0000 0.5000 0.0000
0.0000 0.5000 0.5000
0.1250 0.7500 0.8750
0.1250 0.8750 0.2500
0.2500 0.1250 0.8750
0.2500 0.6250 0.3750
0.3750 0.2500 0.6250
0.3750 0.6250 0.7500
0.5000 0.0000 0.0000
0.5000 0.0000 0.5000
0.5000 0.5000 0.0000
0.5000 0.5000 0.5000
0.6250 0.3750 0.2500
0.6250 0.7500 0.3750
0.7500 0.3750 0.6250
0.7500 0.8750 0.1250
0.8750 0.1250 0.7500
0.8750 0.2500 0.1250
```

## Properties
Energy relative to the elements, meV per atom: 390
DOS(E_F), states/eV per atom: 1.0807
Magnetization, μB per atom: 0.1439

Material: Nd6NiAu2
Method: DFT, GGA-PBE
State: optimized geometry

```
Nd6NiAu2
1.0
6.9402 0.0000 0.0000
0.0000 7.4027 0.0000
-6.3995 0.0000 10.5067
Nd Ni Au
12 2 4
Direct
0.1176 0.0218 0.2556
0.1176 0.4782 0.7556
0.2433 0.6820 0.0644
0.2433 0.8180 0.5644
0.3819 0.1892 0.0608
0.3819 0.3108 0.5608
0.6181 0.6892 0.4392
0.6181 0.8108 0.9392
0.7567 0.1820 0.4356
0.7567 0.3180 0.9356
0.8824 0.5218 0.2444
0.8824 0.9782 0.7444
0.0000 0.0000 0.0000
0.0000 0.5000 0.5000
0.3166 0.1073 0.7625
0.3166 0.3927 0.2625
0.6834 0.6073 0.7375
0.6834 0.8927 0.2375
```

## Properties
Energy relative to the elements, meV per atom: -382
DOS(E_F), states/eV per atom: 1.0417
Magnetization, μB per atom: 0.0000

Material: Co3NiCl
Method: DFT, GGA-PBE
State: optimized geometry

```
Co3NiCl
1.0
4.3991 0.0000 0.0000
0.0000 4.3991 0.0000
0.0000 0.0000 4.3991
Co Ni Cl
3 1 1
Direct
0.0000 0.0000 0.5000
0.0000 0.5000 0.0000
0.5000 0.0000 0.0000
0.0000 0.0000 0.0000
0.5000 0.5000 0.5000
```

## Properties
DOS(E_F), states/eV per atom: 2.5009
Magnetization, μB per atom: 1.3448
Relative energy among the computed polymorphs, meV/atom: 264

Material: Na2Zn5P4O16
Method: DFT, GGA-PBE
State: optimized geometry

```
Na2Zn5P4O16
1.0
10.5889 0.0000 0.0000
0.0000 8.6261 0.0000
0.0000 0.0000 16.7857
Na Zn P O
8 20 16 64
Direct
0.1666 0.2351 0.2040
0.1666 0.7649 0.7040
0.3334 0.2649 0.7040
0.3334 0.7351 0.2040
0.6666 0.2649 0.7960
0.6666 0.7351 0.2960
0.8334 0.2351 0.2960
0.8334 0.7649 0.7960
0.0000 0.1957 0.7500
0.0000 0.8043 0.2500
0.1592 0.3884 0.4215
0.1592 0.6116 0.9215
0.1634 0.0781 0.5537
0.1634 0.9219 0.0537
0.3366 0.4219 0.0537
0.3366 0.5781 0.5537
0.3408 0.1116 0.9215
0.3408 0.8884 0.4215
0.5000 0.3043 0.2500
0.5000 0.6957 0.7500
0.6592 0.1116 0.5785
0.6592 0.8884 0.0785
0.6634 0.4219 0.4463
0.6634 0.5781 0.9463
0.8366 0.0781 0.9463
0.8366 0.9219 0.4463
0.8408 0.3884 0.0785
0.8408 0.6116 0.5785
0.0900 0.4058 0.6068
0.0900 0.5942 0.1068
0.0946 0.0549 0.3673
0.0946 0.9451 0.8673
0.4054 0.4451 0.8673
0.4054 0.5549 0.3673
0.4100 0.0942 0.1068
0.4100 0.9058 0.6068
0.5900 0.0942 0.3932
0.5900 0.9058 0.8932
0.5946 0.4451 0.6327
0.5946 0.5549 0.1327
0.9054 0.0549 0.1327
0.9054 0.9451 0.6327
0.9100 0.4058 0.8932
0.9100 0.5942 0.3932
0.0476 0.0560 0.1113
0.0476 0.9440 0.6113
0.0512 0.4379 0.8977
0.0512 0.5621 0.3977
0.1205 0.3058 0.6812
0.1205 0.6942 0.1812
0.1259 0.0513 0.7966
0.1259 0.9487 0.2966
0.1324 0.2236 0.3441
0.1324 0.7764 0.8441
0.1337 0.3030 0.5326
0.1337 0.6970 0.0326
0.1708 0.4441 0.1068
0.1708 0.5559 0.6068
0.1749 0.0021 0.9412
0.1749 0.9979 0.4412
0.3251 0.4979 0.4412
0.3251 0.5021 0.9412
0.3292 0.0559 0.6068
0.3292 0.9441 0.1068
0.3663 0.1970 0.0326
0.3663 0.8030 0.5326
0.3676 0.2764 0.8441
0.3676 0.7236 0.3441
0.3741 0.4487 0.2966
0.3741 0.5513 0.7966
0.3795 0.1942 0.1812
0.3795 0.8058 0.6812
0.4488 0.0621 0.3977
0.4488 0.9379 0.8977
0.4524 0.4440 0.6113
0.4524 0.5560 0.1113
0.5476 0.4440 0.8887
0.5476 0.5560 0.3887
0.5512 0.0621 0.1023
0.5512 0.9379 0.6023
0.6205 0.1942 0.3188
0.6205 0.8058 0.8188
0.6259 0.4487 0.2034
0.6259 0.5513 0.7034
0.6324 0.2764 0.6559
0.6324 0.7236 0.1559
0.6337 0.1970 0.4674
0.6337 0.8030 0.9674
0.6708 0.0559 0.8932
0.6708 0.9441 0.3932
0.6749 0.4979 0.0588
0.6749 0.5021 0.5588
0.8251 0.0021 0.5588
0.8251 0.9979 0.0588
0.8292 0.4441 0.3932
0.8292 0.5559 0.8932
0.8663 0.3030 0.9674
0.8663 0.6970 0.4674
0.8676 0.2236 0.1559
0.8676 0.7764 0.6559
0.8741 0.0513 0.7034
0.8741 0.9487 0.2034
0.8795 0.3058 0.8188
0.8795 0.6942 0.3188
0.9488 0.4379 0.6023
0.9488 0.5621 0.1023
0.9524 0.0560 0.3887
0.9524 0.9440 0.8887
```

## Properties
Electronic total energy, eV/cell: -658.01
DOS(E_F), states/eV per atom: 0.0000
Magnetization, μB per atom: 0.0000

Material: Sr2AsI2
Method: DFT, GGA-PBE
State: optimized geometry

```
Sr2AsI2
1.0
-3.1097 3.1097 5.0857
3.1097 -3.1097 5.0857
3.1097 3.1097 -5.0857
Sr As I
2 1 2
Direct
0.2500 0.7500 0.5000
0.7500 0.2500 0.5000
0.0000 0.0000 0.0000
0.3341 0.3341 0.0000
0.6659 0.6659 0.0000
```

## Properties
Electronic total energy, eV/cell: -15.05
DOS(E_F), states/eV per atom: 0.4194
Magnetization, μB per atom: 0.0000